Crystalline Sm6BiIr2 at its relaxed geometry, computed with PBE-GGA.

CIF file:
```
data_Sm6BiIr2
_chemical_formula_sum 'Sm24 Bi4 Ir8'
_cell_length_a 9.5527
_cell_length_b 9.9681
_cell_length_c 10.8380
_cell_angle_alpha 90.00
_cell_angle_beta 90.00
_cell_angle_gamma 90.00
_symmetry_space_group_name_H-M 'I m m m'
_symmetry_Int_Tables_number 71
_symmetry_space_group_name_Hall '-I 2 2'
loop_
_atom_site_label
_atom_site_type_symbol
_atom_site_fract_x
_atom_site_fract_y
_atom_site_fract_z
Sm1 Sm 0.0000 0.2077 0.2322
Sm2 Sm 0.1880 0.5000 0.1682
Sm3 Sm 0.2047 0.3201 0.5000
Bi1 Bi 0.0000 0.0000 0.0000
Bi2 Bi 0.0000 0.0000 0.5000
Ir1 Ir 0.0000 0.3381 0.0000
Ir2 Ir 0.0000 0.5000 0.3666
```

=====

Crystalline Sm4BiIr at its relaxed geometry, computed with PBE-GGA.

Computed properties:
Energy above the lowest structure with this stoichiometry ... 49 meV/atom

CIF file:
```
data_Sm4BiIr
_chemical_formula_sum 'Sm16 Bi4 Ir4'
_cell_length_a 9.1313
_cell_length_b 13.8967
_cell_length_c 6.1751
_cell_angle_alpha 90.00
_cell_angle_beta 113.58
_cell_angle_gamma 90.00
_symmetry_space_group_name_H-M 'C 1 2/c 1'
_symmetry_Int_Tables_number 15
loop_
_symmetry_equiv_pos_as_xyz
'x,y,z'
'-x,-y,-z'
'-x,y,-z+1/2'
'x,-y,z+1/2'
'x+1/2,y+1/2,z'
'-x+1/2,-y+1/2,-z'
'-x+1/2,y+1/2,-z+1/2'
'x+1/2,-y+1/2,z+1/2'
loop_
_atom_site_label
_atom_site_type_symbol
_atom_site_fract_x
_atom_site_fract_y
_atom_site_fract_z
Sm1 Sm 0.1120 0.1737 0.0695
Sm2 Sm 0.2224 0.4278 0.3436
Bi1 Bi 0.0000 0.3748 0.7500
Ir1 Ir 0.0000 0.0000 0.2500
```

=====

Crystalline Sm3BiIr at its relaxed geometry, computed with PBE-GGA.

Computed properties:
Energy above the lowest structure with this stoichiometry ... 20 meV/atom

CIF file:
```
data_Sm3BiIr
_chemical_formula_sum 'Sm6 Bi2 Ir2'
_cell_length_a 4.4783
_cell_length_b 6.9820
_cell_length_c 9.5285
_cell_angle_alpha 90.00
_cell_angle_beta 90.00
_cell_angle_gamma 90.00
_symmetry_space_group_name_H-M 'P m m n'
_symmetry_Int_Tables_number 59
loop_
_symmetry_equiv_pos_as_xyz
'x,y,z'
'-x,-y,-z'
'-x+1/2,-y+1/2,z'
'x+1/2,y+1/2,-z'
'x+1/2,-y,-z'
'-x+1/2,y,z'
'-x,y+1/2,-z'
'x,-y+1/2,z'
loop_
_atom_site_label
_atom_site_type_symbol
_atom_site_fract_x
_atom_site_fract_y
_atom_site_fract_z
Sm1 Sm 0.2500 0.0049 0.1485
Sm2 Sm 0.2500 0.2500 0.5905
Bi1 Bi 0.2500 0.7500 0.6449
Ir1 Ir 0.2500 0.2500 0.8979
```

=====

Crystalline Sm3BiIr at its relaxed geometry, computed with PBE-GGA.

Computed properties:
Energy above the lowest structure with this stoichiometry ... 0 meV/atom

CIF file:
```
data_Sm3BiIr
_chemical_formula_sum 'Sm12 Bi4 Ir4'
_cell_length_a 8.0498
_cell_length_b 4.3968
_cell_length_c 16.7562
_cell_angle_alpha 90.00
_cell_angle_beta 90.00
_cell_angle_gamma 90.00
_symmetry_space_group_name_H-M 'P n m a'
_symmetry_Int_Tables_number 62
loop_
_symmetry_equiv_pos_as_xyz
'x,y,z'
'-x,-y,-z'
'-x+1/2,-y,z+1/2'
'x+1/2,y,-z+1/2'
'x+1/2,-y+1/2,-z+1/2'
'-x+1/2,y+1/2,z+1/2'
'-x,y+1/2,-z'
'x,-y+1/2,z'
loop_
_atom_site_label
_atom_site_type_symbol
_atom_site_fract_x
_atom_site_fract_y
_atom_site_fract_z
Sm1 Sm 0.0142 0.2500 0.0913
Sm2 Sm 0.1385 0.7500 0.4504
Sm3 Sm 0.1700 0.2500 0.7035
Bi1 Bi 0.1308 0.2500 0.2992
Ir1 Ir 0.2339 0.7500 0.0418
```

=====

These records have energy values of -6.120, -5.843, -6.090, -6.110 eV per atom, in the order they appear.
These records have magnetization values of 0.00, 0.00, 0.00, 0.00 μB per formula unit, in the order they appear.